Here is an optimized crystal structure of CeHoRe4 from the Alexandria database. Energies are from PBE.

## Properties
* space-group type: No. 216
* calculated formation energy: -83 meV/atom
* total DFT energy (no corrections): -60.80 eV per cell

Lattice parameters (Å, degrees): 5.4493 5.4493 5.4493 60.00 60.00 60.00
Closest atoms and distances in Å follow each position.
Positions (direct):
Ce 0.0000 0.0000 0.0000  12 Re 3.20, 4 Ho 3.34
Ho 0.7500 0.7500 0.7500  12 Re 3.19, 4 Ce 3.34
Re 0.3752 0.3752 0.3752  6 Re 2.72-2.73
Re 0.3752 0.3752 0.8745  6 Re 2.72-2.73
Re 0.3752 0.8745 0.3752  6 Re 2.72-2.73
Re 0.8745 0.3752 0.3752  6 Re 2.72-2.73



Here is an optimized crystal structure of CeHoZnRe from the Alexandria database. Energies are from PBE.

## Properties
* space-group type: No. 216
* calculated formation energy: -28 meV/atom
* total DFT energy (no corrections): -97.38 eV per cell

Lattice parameters (Å, degrees): 7.0013 7.0013 7.0013 90.00 90.00 90.00
Closest atoms and distances in Å follow each position.
Positions (direct):
Ce 0.0000 0.0000 0.0000  4 Re 3.03, 4 Zn 3.03
Ce 0.0000 0.5000 0.5000  4 Re 3.03, 4 Zn 3.03
Ce 0.5000 0.0000 0.5000  4 Re 3.03, 4 Zn 3.03
Ce 0.5000 0.5000 0.0000  4 Re 3.03, 4 Zn 3.03
Ho 0.0000 0.0000 0.5000  4 Zn 3.03, 4 Re 3.03
Ho 0.0000 0.5000 0.0000  4 Zn 3.03, 4 Re 3.03
Ho 0.5000 0.0000 0.0000  4 Zn 3.03, 4 Re 3.03
Ho 0.5000 0.5000 0.5000  4 Zn 3.03, 4 Re 3.03
Zn 0.2500 0.2500 0.2500  4 Ce 3.03, 4 Ho 3.03
Zn 0.2500 0.7500 0.7500  4 Ce 3.03, 4 Ho 3.03
Zn 0.7500 0.2500 0.7500  4 Ce 3.03, 4 Ho 3.03
Zn 0.7500 0.7500 0.2500  4 Ce 3.03, 4 Ho 3.03
Re 0.2500 0.2500 0.7500  4 Ce 3.03, 4 Ho 3.03
Re 0.2500 0.7500 0.2500  4 Ce 3.03, 4 Ho 3.03
Re 0.7500 0.2500 0.2500  4 Ce 3.03, 4 Ho 3.03
Re 0.7500 0.7500 0.7500  4 Ce 3.03, 4 Ho 3.03



Here is an optimized crystal structure of CeHoRh from the Alexandria database. Energies are from PBE.

## Properties
* space-group type: No. 216
* calculated formation energy: -428 meV/atom
* distance to the lowest polymorph of the same formula: 57.1 meV/atom
* total DFT energy (no corrections): -76.59 eV per cell

Lattice parameters (Å, degrees): 6.8366 6.8366 6.8366 90.00 90.00 90.00
Closest atoms and distances in Å follow each position.
Positions (direct):
Ce 0.0000 0.0000 0.0000  4 Rh 2.96
Ce 0.0000 0.5000 0.5000  4 Rh 2.96
Ce 0.5000 0.0000 0.5000  4 Rh 2.96
Ce 0.5000 0.5000 0.0000  4 Rh 2.96
Ho 0.0000 0.0000 0.5000  4 Rh 2.96
Ho 0.0000 0.5000 0.0000  4 Rh 2.96
Ho 0.5000 0.0000 0.0000  4 Rh 2.96
Ho 0.5000 0.5000 0.5000  4 Rh 2.96
Rh 0.2500 0.2500 0.2500  4 Ce 2.96, 4 Ho 2.96
Rh 0.2500 0.7500 0.7500  4 Ce 2.96, 4 Ho 2.96
Rh 0.7500 0.2500 0.7500  4 Ce 2.96, 4 Ho 2.96
Rh 0.7500 0.7500 0.2500  4 Ce 2.96, 4 Ho 2.96



Here is an optimized crystal structure of Ce2Ho2Rh3 from the Alexandria database. Energies are from PBE.

## Properties
* space-group type: No. 12
* calculated formation energy: -650 meV/atom
* total DFT energy (no corrections): -95.25 eV per cell

Lattice parameters (Å, degrees): 10.8098 4.6474 7.1135 90.00 101.56 90.00
Closest atoms and distances in Å follow each position.
Positions (direct):
Ce 0.1271 0.0000 0.3612  2 Rh 2.46-2.66
Ce 0.3729 0.5000 0.6388  2 Rh 2.46-2.66
Ce 0.6271 0.5000 0.3612  2 Rh 2.46-2.66
Ce 0.8729 0.0000 0.6388  2 Rh 2.46-2.66
Ho 0.1372 0.5000 0.9199  5 Rh 2.86-2.89
Ho 0.3628 0.0000 0.0801  5 Rh 2.86-2.89
Ho 0.6372 0.0000 0.9199  5 Rh 2.86-2.89
Ho 0.8628 0.5000 0.0801  5 Rh 2.86-2.89
Rh 0.0000 0.0000 0.0000  2 Ce 2.66, 4 Ho 2.87
Rh 0.1886 0.0000 0.7137  1 Ce 2.46
Rh 0.3114 0.5000 0.2863  1 Ce 2.46
Rh 0.5000 0.5000 0.0000  2 Ce 2.66, 4 Ho 2.87
Rh 0.6886 0.5000 0.7137  1 Ce 2.46
Rh 0.8114 0.0000 0.2863  1 Ce 2.46



Here is an optimized crystal structure of CeHoRh from the Alexandria database. Energies are from PBE.

## Properties
* space-group type: No. 107
* calculated formation energy: -477 meV/atom
* distance to the lowest polymorph of the same formula: 8.4 meV/atom
* total DFT energy (no corrections): -38.59 eV per cell

Lattice parameters (Å, degrees): 3.4883 3.4883 12.1319 90.00 90.00 90.00
Closest atoms and distances in Å follow each position.
Positions (direct):
Ce 0.0000 0.0000 0.0000  4 Rh 2.97, 1 Ho 3.31
Ce 0.5000 0.5000 0.5000  4 Rh 2.97, 1 Ho 3.31
Ho 0.0000 0.0000 0.2729  4 Rh 2.97, 1 Ce 3.31
Ho 0.5000 0.5000 0.7729  4 Rh 2.97, 1 Ce 3.31
Rh 0.0000 0.0000 0.6367  4 Ho 2.97, 4 Ce 2.97
Rh 0.5000 0.5000 0.1367  4 Ho 2.97, 4 Ce 2.97



Here is an optimized crystal structure of CeHo4Rh5 from the Alexandria database. Energies are from PBE.

## Properties
* space-group type: No. 123
* calculated formation energy: -853 meV/atom
* total DFT energy (no corrections): -69.53 eV per cell

Lattice parameters (Å, degrees): 3.4052 3.4052 17.3478 90.00 90.00 90.00
Closest atoms and distances in Å follow each position.
Positions (direct):
Ce 0.0000 0.0000 0.0000  8 Rh 2.98
Ho 0.0000 0.0000 0.2024  8 Rh 2.96-2.98
Ho 0.0000 0.0000 0.4009  8 Rh 2.96
Ho 0.0000 0.0000 0.5991  8 Rh 2.96
Ho 0.0000 0.0000 0.7976  8 Rh 2.96-2.98
Rh 0.5000 0.5000 0.1014  4 Ho 2.98, 4 Ce 2.98
Rh 0.5000 0.5000 0.3013  8 Ho 2.96
Rh 0.5000 0.5000 0.5000  8 Ho 2.96
Rh 0.5000 0.5000 0.6987  8 Ho 2.96
Rh 0.5000 0.5000 0.8986  4 Ho 2.98, 4 Ce 2.98



Here is an optimized crystal structure of CeHo2Rh2 from the Alexandria database. Energies are from PBE.

## Properties
* space-group type: No. 11
* calculated formation energy: -670 meV/atom
* total DFT energy (no corrections): -66.29 eV per cell

Lattice parameters (Å, degrees): 5.6501 4.2560 10.3543 90.00 96.10 90.00
Closest atoms and distances in Å follow each position.
Positions (direct):
Ce 0.0985 0.2500 0.2920  5 Rh 2.78-3.04
Ce 0.9015 0.7500 0.7080  5 Rh 2.78-3.04
Ho 0.2516 0.2500 0.9661  4 Rh 2.82-3.13
Ho 0.3874 0.2500 0.6202  4 Rh 2.79-2.99
Ho 0.6126 0.7500 0.3798  4 Rh 2.79-2.99
Ho 0.7484 0.7500 0.0339  4 Rh 2.82-3.13
Rh 0.1605 0.7500 0.4653  3 Ce 2.78-3.04, 3 Ho 2.79-2.88, 2 Rh 2.93
Rh 0.2554 0.7500 0.1452  2 Ce 2.81, 5 Ho 2.82-3.13
Rh 0.7446 0.2500 0.8548  2 Ce 2.81, 5 Ho 2.82-3.13
Rh 0.8395 0.2500 0.5347  3 Ce 2.78-3.04, 3 Ho 2.79-2.88, 2 Rh 2.93



Here is an optimized crystal structure of CeHoRh from the Alexandria database. Energies are from PBE.

## Properties
* space-group type: No. 156
* calculated formation energy: -331 meV/atom
* distance to the lowest polymorph of the same formula: 154.5 meV/atom
* total DFT energy (no corrections): -18.85 eV per cell

Lattice parameters (Å, degrees): 4.5608 4.5608 4.0283 90.00 90.00 120.00
Closest atoms and distances in Å follow each position.
Positions (direct):
Ce 0.0000 0.0000 0.0000  3 Rh 2.88, 3 Ho 3.19
Ho 0.3333 0.6667 0.5541  3 Rh 2.84
Rh 0.6667 0.3333 0.2895  3 Ho 2.84, 3 Ce 2.88



Here is an optimized crystal structure of CeHo3Rh8 from the Alexandria database. Energies are from PBE.

## Properties
* space-group type: No. 160
* calculated formation energy: -738 meV/atom
* total DFT energy (no corrections): -87.33 eV per cell

Lattice parameters (Å, degrees): 9.2357 9.2357 9.2357 33.59 33.59 33.59
Closest atoms and distances in Å follow each position.
Positions (direct):
Ce 0.0000 0.0000 0.0000  12 Rh 3.12-3.14, 4 Ho 3.27-3.28
Ho 0.3762 0.3762 0.3762  12 Rh 3.12-3.14, 1 Ho 3.26, 3 Ce 3.28
Ho 0.5010 0.5010 0.5010  12 Rh 3.12-3.13, 4 Ho 3.26
Ho 0.8747 0.8747 0.8747  12 Rh 3.11-3.14, 3 Ho 3.26, 1 Ce 3.27
Rh 0.1880 0.1880 0.1880  6 Rh 2.66
Rh 0.4373 0.4373 0.9392  6 Rh 2.66-2.68
Rh 0.4373 0.9392 0.4373  6 Rh 2.66-2.68
Rh 0.4378 0.9384 0.9384  6 Rh 2.66-2.67
Rh 0.6883 0.6883 0.6883  6 Rh 2.67-2.68
Rh 0.9384 0.4378 0.9384  6 Rh 2.66-2.67
Rh 0.9384 0.9384 0.4378  6 Rh 2.66-2.67
Rh 0.9392 0.4373 0.4373  6 Rh 2.66-2.68



Here is an optimized crystal structure of CeHoRh from the Alexandria database. Energies are from PBE.

## Properties
* space-group type: No. 6
* calculated formation energy: -485 meV/atom
* distance to the lowest polymorph of the same formula: 0.0 meV/atom
* total DFT energy (no corrections): -38.64 eV per cell

Lattice parameters (Å, degrees): 5.7183 4.1017 7.2777 90.00 108.62 90.00
Closest atoms and distances in Å follow each position.
Positions (direct):
Ce 0.0000 0.0000 0.0000  3 Rh 2.77-3.04
Ce 0.4600 0.5000 0.3748  4 Rh 2.77-3.08
Ho 0.0016 0.0000 0.5067  4 Rh 2.84-3.08
Ho 0.4690 0.5000 0.8762  3 Rh 2.78-2.92
Rh 0.5441 0.0000 0.6431  3 Ce 2.77-3.04, 4 Ho 2.78-3.08
Rh 0.9044 0.5000 0.2221  4 Ce 2.77-3.08, 3 Ho 2.84-2.92



The highest calculated formation energy belongs to which entry?
CeHoZnRe